Record 1
An optimized crystal structure of DySbN2O. Source: OQMD via LeMat-Bulk, functional PBE-GGA.

Values from the calculation:
raw total energy = -0.2542 hartree per atom

a b c (Å): 3.6785 3.7295 5.0364
angles (deg): 90.00 90.09 90.00
With the nearest neighbours (Å) after each atom.
Positions (direct):
Dy 0.9990 0.0000 0.1172  2 O 2.33, 2 N 2.36
N 0.9998 0.5000 0.4057  2 Sb 2.02
N 0.5027 0.5000 0.9625  1 Sb 1.97
O 0.4995 0.0000 0.4027  2 Sb 2.05
Sb 0.5001 0.5000 0.5724  3 N 1.97-2.02, 2 O 2.05

Record 2
An optimized crystal structure of ZnTc. Source: OQMD via LeMat-Bulk, functional PBE-GGA.

Values from the calculation:
formation energy from the elements = 0.109 eV/atom
raw total energy = -0.2096 hartree per atom

a b c (Å): 4.7711 7.3071 4.3806
angles (deg): 90.00 90.00 70.95
With the nearest neighbours (Å) after each atom.
Positions (direct):
Tc 0.7762 0.4126 0.0000  5 Tc 2.59-2.72, 7 Zn 2.72-2.88
Tc 0.1811 0.6000 0.0000  4 Zn 2.61-2.73, 8 Tc 2.71-2.75
Tc 0.5888 0.7874 0.0000  5 Tc 2.59-2.72, 7 Zn 2.72-2.88
Tc 0.4857 0.4062 0.5000  5 Tc 2.60-2.75, 7 Zn 2.71-2.82
Tc 0.2919 0.7938 0.5000  5 Tc 2.60-2.75, 7 Zn 2.71-2.82
Zn 0.3844 0.2051 0.0000  6 Zn 2.64-2.79, 6 Tc 2.73-2.88
Zn 0.9895 0.9950 0.0000  6 Zn 2.64-2.79, 6 Tc 2.73-2.88
Zn 0.0757 0.2023 0.5000  7 Zn 2.64-2.77, 5 Tc 2.72-2.82
Zn 0.8821 0.6000 0.5000  10 Tc 2.61-2.76, 2 Zn 2.75
Zn 0.6779 0.9977 0.5000  7 Zn 2.64-2.77, 5 Tc 2.72-2.82